! Fe10O11F9 GGA+U relaxed; values from VASP
! **Electronic total energy**: -176.8 eV/f.u.
! **Total magnetization**: 7.0 μB per cell
! **DOS(E_F)**: 3.4 states/eV/cell
! **ΔE to the lowest computed polymorph**: 46 meV per atom
&SYSTEM
  ibrav = 0, nat = 30, ntyp = 3
/
ATOMIC_SPECIES
F 19.00 F.upf
O 16.00 O.upf
Fe 55.84 Fe.upf
CELL_PARAMETERS angstrom
-4.611 -0.776 -0.300
-0.170 -2.407 4.026
-2.740 12.859 7.624
ATOMIC_POSITIONS angstrom
F -1.741 3.172 3.003
F -4.949 6.541 5.561
F -3.846 1.304 2.470
F -5.770 6.451 8.306
F -4.119 -1.243 3.738
F -4.712 1.196 5.295
F -5.238 3.906 6.852
F -6.314 8.988 9.905
F -3.373 10.958 7.589
O -5.439 9.044 7.165
O -3.249 5.880 7.209
O -1.159 0.729 1.430
O -2.313 5.828 4.565
O -5.951 11.536 8.627
O -3.715 8.421 8.820
O -4.317 3.828 4.094
O -4.193 10.877 10.284
O -2.571 3.190 5.830
O -2.077 0.634 4.215
O -2.895 8.408 6.062
Fe -3.682 4.857 5.628
Fe -4.849 9.923 8.726
Fe -0.818 0.127 5.467
Fe -2.090 5.283 8.589
Fe -2.211 10.187 6.103
Fe -4.220 7.526 7.159
Fe -4.615 -0.752 -0.225
Fe -3.184 2.281 4.309
Fe -1.146 5.169 3.211
Fe -2.429 -0.306 2.511